# 1
Entry from the Alexandria database: a relaxed ScCu3Cl crystal (PBE).

* E_form (uncorrected): 1.072 eV per atom
* theoretical density: 3611 kg/m3
* volume: 24.9 A^3/atom
* SG: Pm-3m (221)

a = 4.995 Å, b = 4.995 Å, c = 4.995 Å
α = 90.00°, β = 90.00°, γ = 90.00°
Fractional coordinates of all 5 atoms:
Sc1 0.000 0.000 0.000
Cu1 0.000 0.500 0.000
Cu2 0.000 0.000 0.500
Cu3 0.500 0.000 0.000
Cl1 0.500 0.500 0.500

---

# 2
Entry from the Alexandria database: a relaxed ScCu2Cl crystal (PBE).

* E_form (uncorrected): -0.268 eV per atom
* theoretical density: 5187 kg/m3
* volume: 16.6 A^3/atom
* SG: I4/mmm (139)

a = 5.798 Å, b = 5.798 Å, c = 5.798 Å
α = 144.16°, β = 144.16°, γ = 51.58°
Fractional coordinates of all 4 atoms:
Cl1 0.750 0.250 0.500
Cu1 0.000 0.000 0.000
Cu2 0.500 0.500 0.000
Sc1 0.250 0.750 0.500

---

Short version: energy relative to the lowest polymorph listed for this composition = 405, 169 meV per atom, in the order given.